[1]
VASP calculation (PBE) on an optimized crystal structure of SiSnBiF2.

## Properties
- energy relative to the elements, uncorrected (eV/atom) = -0.7554
- electronic total energy (eV/atom) = -4.17
- SG = No. 123

```
SiSnBiF2
1.0
4.4172 0.0000 0.0000
0.0000 6.5263 0.0000
0.0000 0.0000 4.4172
F Bi Si Sn
2 1 1 1
direct
0.0000 0.0000 0.5000
0.5000 0.0000 0.0000
0.0000 0.0000 0.0000
0.5000 0.5000 0.5000
0.0000 0.5000 0.0000
```


[2]
VASP calculation (PBE) on an optimized crystal structure of VSbTe2Pt.

## Properties
- energy relative to the elements, uncorrected (eV/atom) = 0.9049
- electronic total energy (eV/atom) = -4.21
- SG = No. 123
- energy above the most stable polymorph in this dataset (meV per atom) = 299

```
VSbTe2Pt
1.0
5.4165 0.0000 0.0000
0.0000 5.4165 0.0000
0.0000 0.0000 5.0198
Pt Sb V Te
1 1 1 2
direct
0.0000 0.0000 0.0000
0.0000 0.0000 0.5000
0.5000 0.5000 0.5000
0.0000 0.5000 0.0000
0.5000 0.0000 0.0000
```


[3]
VASP calculation (PBE) on an optimized crystal structure of Rb2MoCl6.

## Properties
- energy relative to the elements, uncorrected (eV/atom) = -1.4180
- electronic total energy (eV/atom) = -4.07
- SG = No. 225

```
Rb2MoCl6
1.0
-6.2555 2.6766 -2.5147
-4.9197 -4.4400 -2.9501
-6.2025 -1.3784 3.4998
Mo Cl Rb
1 6 2
direct
0.0000 0.0000 0.0000
0.2341 0.2341 0.7659
0.7659 0.2341 0.2341
0.7659 0.7659 0.2341
0.2341 0.7659 0.7659
0.2341 0.7659 0.2341
0.7659 0.2341 0.7659
0.7500 0.7500 0.7500
0.2500 0.2500 0.2500
```


[4]
VASP calculation (PBE) on an optimized crystal structure of AlHg2Sb2.

## Properties
- energy relative to the elements, uncorrected (eV/atom) = 0.2527
- electronic total energy (eV/atom) = -2.27
- SG = No. 127
- energy above the most stable polymorph in this dataset (meV per atom) = 39

```
AlHg2Sb2
1.0
7.8224 0.0000 0.0000
0.0000 7.8224 0.0000
0.0000 0.0000 4.4226
Sb Al Hg
4 2 4
direct
0.3162 0.8162 0.0000
0.6838 0.1838 0.0000
0.1838 0.3162 0.0000
0.8162 0.6838 0.0000
0.0000 0.0000 0.0000
0.5000 0.5000 0.0000
0.1350 0.6350 0.5000
0.8650 0.3650 0.5000
0.6350 0.8650 0.5000
0.3650 0.1350 0.5000
```


Q: electronic total energy of number 4 (AlHg2Sb2)?
A: -2.27 eV/atom


Q: The lowest electronic total energy belongs to which entry?
A: VSbTe2Pt


Q: Number 4 is which compound?
A: AlHg2Sb2


Copy entry 2 word for word.
VASP calculation (PBE) on an optimized crystal structure of VSbTe2Pt.

## Properties
- energy relative to the elements, uncorrected (eV/atom) = 0.9049
- electronic total energy (eV/atom) = -4.21
- SG = No. 123
- energy above the most stable polymorph in this dataset (meV per atom) = 299

```
VSbTe2Pt
1.0
5.4165 0.0000 0.0000
0.0000 5.4165 0.0000
0.0000 0.0000 5.0198
Pt Sb V Te
1 1 1 2
direct
0.0000 0.0000 0.0000
0.0000 0.0000 0.5000
0.5000 0.5000 0.5000
0.0000 0.5000 0.0000
0.5000 0.0000 0.0000
```